1.
Below is crystalline Pm5Te4As at its relaxed geometry, with properties calculated at the PBE level.

Values from the calculation:
Crystal system   tetragonal
VASP energy   -5.556 eV per atom
Uncorrected formation energy   -1459 meV per atom
Polymorph energy (0 for the lowest one)   0.000 eV per atom
V   613.6 Å³ per cell

Unit cell a=9.9131 b=9.9131 c=6.2439 alpha=90.00 beta=90.00 gamma=90.00
Last column: nearest neighbours and their distance in Å.
Space group I4/m (No. 87)
Asymmetric unit:
Pm 0.0000 0.0000 0.0000 [2 per cell]  2 As 3.12, 4 Te 3.17
Pm 0.0974 0.2757 0.5000 [8 per cell]  1 As 2.90, 4 Te 3.14-3.18
Te 0.0921 0.3057 0.0000 [8 per cell]  6 Pm 3.14-3.28
As 0.0000 0.0000 0.5000 [2 per cell]  6 Pm 2.90-3.12

=====

2.
Below is crystalline Pm3Te2As at its relaxed geometry, with properties calculated at the PBE level.

Values from the calculation:
Crystal system   monoclinic
VASP energy   -5.704 eV per atom
Uncorrected formation energy   -1506 meV per atom
Polymorph energy (0 for the lowest one)   0.000 eV per atom
V   721.8 Å³ per cell

Unit cell a=7.5735 b=13.0940 c=7.7035 alpha=90.00 beta=109.12 gamma=90.00
Last column: nearest neighbours and their distance in Å.
Space group C2/m (No. 12)
Asymmetric unit:
Pm 0.2213 0.0000 0.2228 [4 per cell]  2 As 2.95, 4 Te 3.12-3.24
Pm 0.2472 0.1760 0.7732 [8 per cell]  2 As 2.95, 4 Te 3.14-3.28
Te 0.0000 0.0000 0.5000 [2 per cell]  6 Pm 3.12-3.27
Te 0.0000 0.3395 0.5000 [4 per cell]  6 Pm 3.15-3.28
Te 0.0000 0.5000 0.0000 [2 per cell]  6 Pm 3.13-3.14
As 0.0000 0.1679 0.0000 [4 per cell]  6 Pm 2.95

=====

3.
Below is crystalline Pm8Te3As4 at its relaxed geometry, with properties calculated at the PBE level.

Values from the calculation:
Crystal system   monoclinic
VASP energy   -5.764 eV per atom
Uncorrected formation energy   -1362 meV per atom
V   913.7 Å³ per cell

Unit cell a=12.2075 b=12.2300 c=8.6090 alpha=90.00 beta=134.69 gamma=90.00
Last column: nearest neighbours and their distance in Å.
Space group C2/m (No. 12)
Asymmetric unit:
Pm 0.0000 0.2393 0.0000 [4 per cell]  3 As 2.93-3.06, 3 Te 3.05-3.19
Pm 0.0000 0.2420 0.5000 [4 per cell]  3 As 2.96-3.05, 2 Te 3.06
Pm 0.2299 0.0000 0.9793 [4 per cell]  2 As 2.93-2.94, 3 Te 3.06-3.17
Pm 0.2381 0.0000 0.4839 [4 per cell]  4 As 2.96-3.06, 1 Te 3.16
Te 0.0000 0.5000 0.0000 [2 per cell]  6 Pm 3.16-3.19
Te 0.2500 0.2500 0.0000 [4 per cell]  6 Pm 3.05-3.06
As 0.0000 0.0000 0.0000 [2 per cell]  6 Pm 2.93-2.96
As 0.0000 0.0000 0.5000 [2 per cell]  6 Pm 2.93-3.01
As 0.2500 0.2500 0.5000 [4 per cell]  6 Pm 3.05-3.06

=====

4.
Below is crystalline Pm4Te3As at its relaxed geometry, with properties calculated at the PBE level.

Values from the calculation:
Crystal system   orthorhombic
VASP energy   -5.617 eV per atom
Uncorrected formation energy   -1483 meV per atom
V   488.2 Å³ per cell

Unit cell a=8.9333 b=12.5083 c=4.3691 alpha=90.00 beta=90.00 gamma=90.00
Last column: nearest neighbours and their distance in Å.
Space group Cmmm (No. 65)
Asymmetric unit:
Pm 0.0000 0.2340 0.0000 [4 per cell]  1 As 2.93, 4 Te 3.13
Pm 0.2244 0.0000 0.5000 [4 per cell]  2 As 2.97, 4 Te 3.14-3.29
Te 0.0000 0.5000 0.0000 [2 per cell]  6 Pm 3.29-3.33
Te 0.2500 0.2500 0.5000 [4 per cell]  6 Pm 3.13-3.14
As 0.0000 0.0000 0.0000 [2 per cell]  6 Pm 2.93-2.97

=====

5.
Below is crystalline Pm3Te2As at its relaxed geometry, with properties calculated at the PBE level.

Values from the calculation:
Crystal system   monoclinic
VASP energy   -5.686 eV per atom
Uncorrected formation energy   -1488 meV per atom
Polymorph energy (0 for the lowest one)   0.018 eV per atom
V   721.1 Å³ per cell

Unit cell a=7.7070 b=13.1396 c=7.5563 alpha=90.00 beta=109.55 gamma=90.00
Last column: nearest neighbours and their distance in Å.
Space group C2/c (No. 15)
Asymmetric unit:
Pm 0.2170 0.0739 0.4955 [8 per cell]  2 As 2.95-2.96, 3 Te 3.13-3.24
Pm 0.2500 0.2500 0.0000 [4 per cell]  2 As 3.05, 4 Te 3.12-3.13
Te 0.0000 0.2584 0.2500 [4 per cell]  6 Pm 3.12-3.24
Te 0.0000 0.4193 0.7500 [4 per cell]  6 Pm 3.13-3.30
As 0.0000 0.0890 0.7500 [4 per cell]  6 Pm 2.95-3.05

=====

6.
Below is crystalline PmTeAs2 at its relaxed geometry, with properties calculated at the PBE level.

Values from the calculation:
Crystal system   tetragonal
VASP energy   -4.801 eV per atom
Uncorrected formation energy   -503 meV per atom
V   96.2 Å³ per cell

Unit cell a=4.7197 b=4.7197 c=4.3167 alpha=90.00 beta=90.00 gamma=90.00
Last column: nearest neighbours and their distance in Å.
Space group P4/mmm (No. 123)
Asymmetric unit:
Pm 0.0000 0.0000 0.0000 [1 per cell]  8 As 3.20, 4 Te 3.34
Te 0.5000 0.5000 0.0000 [1 per cell]  8 As 3.20, 4 Pm 3.34
As 0.0000 0.5000 0.5000 [2 per cell]  4 Te 3.20, 4 Pm 3.20, 4 As 3.34

=====

7.
Below is crystalline PmTh2Te2As2 at its relaxed geometry, with properties calculated at the PBE level.

Values from the calculation:
Crystal system   tetragonal
VASP energy   -5.872 eV per atom
Uncorrected formation energy   -848 meV per atom
V   459.7 Å³ per cell

Unit cell a=5.3821 b=5.3821 c=15.8704 alpha=90.00 beta=90.00 gamma=90.00
Last column: nearest neighbours and their distance in Å.
Space group I4/mmm (No. 139)
Asymmetric unit:
Pm 0.0000 0.0000 0.0000 [2 per cell]  4 As 2.69
Th 0.0000 0.0000 0.3915 [4 per cell]  1 Te 3.14, 4 As 3.20, 1 Th 3.45
Te 0.0000 0.0000 0.1936 [4 per cell]  1 Pm 3.07, 1 Th 3.14
As 0.0000 0.5000 0.0000 [4 per cell]  2 Pm 2.69

=====

8.
Below is crystalline Pm6TlTe3As2 at its relaxed geometry, with properties calculated at the PBE level.

Values from the calculation:
Crystal system   monoclinic
VASP energy   -5.443 eV per atom
Uncorrected formation energy   -1310 meV per atom
V   724.6 Å³ per cell

Unit cell a=19.2677 b=4.3380 c=8.9380 alpha=90.00 beta=104.08 gamma=90.00
Last column: nearest neighbours and their distance in Å.
Space group C2/m (No. 12)
Asymmetric unit:
Pm 0.0073 0.0000 0.2525 [4 per cell]  1 As 3.01, 2 Tl 3.11, 3 Te 3.13-3.23
Pm 0.1669 0.5000 0.1037 [4 per cell]  2 As 3.00, 1 Tl 3.12, 3 Te 3.14-3.25
Pm 0.1735 0.5000 0.5674 [4 per cell]  3 As 2.96-2.98, 3 Te 3.24-3.25
Tl 0.0000 0.5000 0.0000 [2 per cell]  6 Pm 3.11-3.12
Te 0.0000 0.5000 0.5000 [2 per cell]  6 Pm 3.13-3.25
Te 0.1653 0.0000 0.8314 [4 per cell]  6 Pm 3.14-3.25
As 0.1682 0.0000 0.3358 [4 per cell]  6 Pm 2.96-3.01

=====

9.
Below is crystalline Pm4Tl2TeAs at its relaxed geometry, with properties calculated at the PBE level.

Values from the calculation:
Crystal system   monoclinic
VASP energy   -4.835 eV per atom
Uncorrected formation energy   -894 meV per atom
V   246.7 Å³ per cell

Unit cell a=7.3436 b=4.1999 c=8.3456 alpha=90.00 beta=106.62 gamma=90.00
Last column: nearest neighbours and their distance in Å.
Space group P2/m (No. 10)
Asymmetric unit:
Pm 0.2264 0.0000 0.2209 [2 per cell]  2 As 2.97, 1 Te 3.09, 1 Tl 3.23
Pm 0.2410 0.5000 0.7676 [2 per cell]  1 As 2.98, 2 Te 3.11, 3 Tl 3.20-3.32
Tl 0.0000 0.0000 0.5000 [1 per cell]  6 Pm 3.20-3.23
Tl 0.5000 0.5000 0.5000 [1 per cell]  6 Pm 3.32-3.35
Te 0.5000 0.0000 0.0000 [1 per cell]  6 Pm 3.09-3.11
As 0.0000 0.5000 0.0000 [1 per cell]  6 Pm 2.97-2.98

=====

10.
Below is crystalline PmTmTeAs at its relaxed geometry, with properties calculated at the PBE level.

Values from the calculation:
Crystal system   trigonal
VASP energy   -5.687 eV per atom
Uncorrected formation energy   -1433 meV per atom
V   333.6 Å³ per cell

Unit cell a=4.1639 b=4.1639 c=22.2185 alpha=90.00 beta=90.00 gamma=120.00
Last column: nearest neighbours and their distance in Å.
Space group R3m (No. 160, hexagonal axes)
Asymmetric unit:
Pm 0.0000 0.0000 0.0000 [3 per cell]  3 As 2.91, 3 Te 3.24
Tm 0.0000 0.0000 0.1895 [3 per cell]  3 As 2.86, 3 Te 3.16
Te 0.0000 0.0000 0.4308 [3 per cell]  3 Tm 3.16, 3 Pm 3.24
As 0.0000 0.0000 0.5926 [3 per cell]  3 Tm 2.86, 3 Pm 2.91

=====

11.
Below is crystalline Pm8ZnTe4As3 at its relaxed geometry, with properties calculated at the PBE level.

Values from the calculation:
Crystal system   trigonal
VASP energy   -5.468 eV per atom
Uncorrected formation energy   -1356 meV per atom
V   1405.4 Å³ per cell

Unit cell a=8.6534 b=8.6534 c=21.6723 alpha=90.00 beta=90.00 gamma=120.00
Last column: nearest neighbours and their distance in Å.
Space group R-3m (No. 166, hexagonal axes)
Asymmetric unit:
Pm 0.0000 0.0000 0.2399 [6 per cell]  3 As 2.96, 3 Te 3.22
Pm 0.0015 0.5007 0.7577 [18 per cell]  2 As 2.98, 1 Zn 3.00, 3 Te 3.17-3.19
Zn 0.0000 0.0000 0.5000 [3 per cell]  6 Pm 3.00
Te 0.0000 0.0000 0.0000 [3 per cell]  6 Pm 3.17
Te 0.0000 0.5000 0.0000 [9 per cell]  6 Pm 3.19-3.22
As 0.0000 0.5000 0.5000 [9 per cell]  6 Pm 2.96-2.98

=====

12.
Below is crystalline PmTh5As6 at its relaxed geometry, with properties calculated at the PBE level.

Values from the calculation:
Crystal system   monoclinic
ΔH_f (0 K)   -1.4236 eV per atom
VASP energy   -7.236 eV per atom
V   651.5 Å³ per cell

Unit cell a=7.3602 b=12.7506 c=7.3638 alpha=90.00 beta=109.48 gamma=90.00
Last column: nearest neighbours and their distance in Å.
Space group C2/m (No. 12)
Asymmetric unit:
Pm 0.0000 0.0000 0.0000 [2 per cell]  6 As 3.00-3.01
Th 0.0000 0.1660 0.5000 [4 per cell]  6 As 3.00-3.01
Th 0.0000 0.3336 0.0000 [4 per cell]  6 As 3.00-3.01
Th 0.0000 0.5000 0.5000 [2 per cell]  6 As 3.01
As 0.2500 0.0000 0.7502 [4 per cell]  5 Th 3.00-3.01, 1 Pm 3.00
As 0.2500 0.1668 0.2499 [8 per cell]  5 Th 3.01, 1 Pm 3.01

=====

| no. | total magnetic moment (μB/cell) |
| --- | --- |
| 1 | 0.00 |
| 2 | 0.00 |
| 3 | 0.00 |
| 4 | 0.00 |
| 5 | 0.00 |
| 6 | 0.00 |
| 7 | 1.87 |
| 8 | 0.00 |
| 9 | 0.00 |
| 10 | 0.00 |
| 11 | 0.00 |
| 12 | 0.00 |